RbScAuCl6 | PBE | optimized geometry

Geometry as POSCAR:
```
RbScAuCl6
1.0
6.630 0.372 -0.175
3.633 6.302 -0.337
-0.184 -0.321 7.249
Rb Sc Au Cl
1 1 1 6
Cartesian
3.890 6.155 -0.335
3.457 1.989 3.452
6.735 4.298 3.285
7.939 2.695 1.846
2.302 0.057 4.745
5.158 2.117 5.127
8.732 4.053 4.718
4.548 3.962 2.165
4.184 0.458 1.767
```

Summary:
ΔE_f (raw) = -1438 meV per atom
SG = P1
Total magnetic moment = 1.047 Bohr magnetons per cell